# 1
The following is a DFT calculation (GGA-PBE) of an optimized crystal structure of CsNaHg3.

abc: 6.813 6.813 6.813
angles: 90.00 90.00 90.00
Space group Pm-3m (No. 221)
Unique sites:
Cs 0.000 0.000 0.000 x1
Na 0.500 0.500 0.500 x1
Hg 0.000 0.000 0.500 x3

Properties
For the energy above the lowest structure with this stoichiometry, the calculation gives 0.345 eV per atom. The calculation puts the formation energy from the elements at 0.1576 eV/atom.



# 2
The following is a DFT calculation (GGA-PBE) of an optimized crystal structure of Cs5Na5Hg.

abc: 7.011 9.421 21.998
angles: 90.00 90.00 90.00
Space group Immm (No. 71)
Unique sites:
Cs 0.000 0.000 0.000 x2
Cs 0.000 0.000 0.292 x4
Cs 0.000 0.500 0.349 x4
Na 0.000 0.000 0.500 x2
Na 0.000 0.318 0.125 x8
Hg 0.000 0.500 0.000 x2

Properties
The calculation puts the formation energy from the elements at 0.0251 eV/atom.



# 3
The following is a DFT calculation (GGA-PBE) of an optimized crystal structure of Cs2NaHg2.

abc: 10.967 10.967 4.266
angles: 90.00 90.00 90.00
Space group P4/mbm (No. 127)
Unique sites:
Cs 0.179 0.321 0.000 x4
Na 0.000 0.000 0.000 x2
Hg 0.106 0.606 0.500 x4

Properties
For the energy above the lowest structure with this stoichiometry, the calculation gives 0.113 eV per atom. The calculation puts the formation energy from the elements at -0.0910 eV/atom.



# 4
The following is a DFT calculation (GGA-PBE) of an optimized crystal structure of CsNaHg4.

abc: 11.837 11.837 13.105
angles: 90.00 90.00 90.00
Space group I4/mmm (No. 139)
Unique sites:
Cs 0.000 0.000 0.160 x4
Cs 0.000 0.500 0.250 x4
Na 0.000 0.199 0.500 x8
Hg 0.123 0.309 0.000 x16
Hg 0.185 0.185 0.326 x16

Properties
For the energy above the lowest structure with this stoichiometry, the calculation gives 0.097 eV per atom. The calculation puts the formation energy from the elements at -0.1689 eV/atom.



# 5
The following is a DFT calculation (GGA-PBE) of an optimized crystal structure of CsNa3Hg.

abc: 7.794 7.794 7.794
angles: 90.00 90.00 90.00
Space group Pm-3m (No. 221)
Unique sites:
Cs 0.000 0.000 0.000 x1
Na 0.000 0.000 0.500 x3
Hg 0.500 0.500 0.500 x1

Properties
For the energy above the lowest structure with this stoichiometry, the calculation gives 0.599 eV per atom. The calculation puts the formation energy from the elements at 0.4888 eV/atom.



# 6
The following is a DFT calculation (GGA-PBE) of an optimized crystal structure of CsNaHg3.

abc: 7.597 7.592 7.365
angles: 90.00 120.84 90.00
Space group Cm (No. 8)
Unique sites:
Cs 0.000 0.000 0.000 x2
Na 0.137 0.500 0.275 x2
Hg 0.012 0.250 0.524 x4
Hg 0.396 0.000 0.793 x2

Properties
For the energy above the lowest structure with this stoichiometry, the calculation gives 0.000 eV per atom. The calculation puts the formation energy from the elements at -0.1876 eV/atom.